Below is an optimized crystal structure of ZnOsCl3, with properties calculated at the PBE level.

Summary:
* polymorph energy (0 for the lowest one): 427 meV/atom
* raw formation energy: 0.708 eV/atom
* E_tot: -2.9010 eV per atom

Cell lengths 4.892, 4.892, 4.892 Å; angles 90.00, 90.00, 90.00 degrees
Fractional coordinates of all 5 atoms:
Zn 0.000 0.000 0.000
Os 0.500 0.500 0.500
Cl 0.000 0.500 0.000
Cl 0.000 0.000 0.500
Cl 0.500 0.000 0.000